TbPmErSc | GGA-PBE | relaxed

Summary:
Magnetization ... 0.0 μB/cell
Electronic total energy ... -19.894 eV per cell
Space group ... Cm, No. 8
Formation enthalpy at 0 K ... 0.10 eV per atom
E above lowest polymorph ... 0 meV/atom

Lattice parameters (Å, degrees): 6.674 6.674 3.770 106.37 106.37 49.87
Element x y z (fractional)
Tb: 0.000 0.000 0.000
Pm: 0.272 0.272 0.779
Er: 0.539 0.539 0.539
Sc: 0.768 0.768 0.270